[1]
A plane-wave DFT calculation with PBE was carried out for an optimized crystal structure of Rb3Sr2SbO6.

The value obtained for the total energy is -5.267 eV per atom. The density of states at the Fermi level is 0.0 states/eV per cell.

It has space group C2/m (No. 12), with a = 6.253 Å, b = 10.817 Å, c = 6.829 Å, α = 90.00°, β = 107.78° and γ = 90.00°. The distinct sites, in fractional coordinates, are Rb at (0.000, 0.000, 0.000), Rb at (0.000, 0.333, 0.000), Sr at (0.000, 0.167, 0.500), Sb at (0.000, 0.500, 0.500), O at (0.198, 0.362, 0.678) and O at (0.216, 0.500, 0.320).

---

[2]
A plane-wave DFT calculation with PBE was carried out for an optimized crystal structure of Rb2TaSb3O12.

The value obtained for the total energy is -6.411 eV per atom. The density of states at the Fermi level is 23.8 states/eV per cell.

It has space group R-3m (No. 166, hexagonal axes), with a = 7.3701 Å, b = 7.3701 Å, c = 18.3171 Å, α = 90.00°, β = 90.00° and γ = 120.00°. The distinct sites, in fractional coordinates, are Rb at (0.0000, 0.0000, 0.1258), Ta at (0.0000, 0.0000, 0.5000), Sb at (0.0000, 0.5000, 0.0000), O at (0.0668, 0.5334, 0.3590) and O at (0.0774, 0.5387, 0.1050).

---

[3]
A plane-wave DFT calculation with PBE was carried out for an optimized crystal structure of RbTaSb2O.

The value obtained for the total energy is -4.752 eV per atom. The density of states at the Fermi level is 3.9 states/eV per cell.

It has space group P4/mmm (No. 123), with a = 4.805 Å, b = 4.805 Å, c = 4.934 Å, α = 90.00°, β = 90.00° and γ = 90.00°. The distinct sites, in fractional coordinates, are Rb at (0.000, 0.000, 0.000), Ta at (0.500, 0.500, 0.000), Sb at (0.000, 0.500, 0.500) and O at (0.000, 0.000, 0.500).

---

[4]
A plane-wave DFT calculation with PBE was carried out for an optimized crystal structure of Rb2TaSbO6.

The value obtained for the total energy is -6.767 eV per atom. The density of states at the Fermi level is 0.0 states/eV per cell.

It has space group Fm-3m (No. 225), with a = 8.134 Å, b = 8.134 Å, c = 8.134 Å, α = 90.00°, β = 90.00° and γ = 90.00°. The distinct sites, in fractional coordinates, are Rb at (0.250, 0.250, 0.250), Ta at (0.000, 0.000, 0.000), Sb at (0.000, 0.000, 0.500) and O at (0.000, 0.000, 0.249).

---

[5]
A plane-wave DFT calculation with PBE was carried out for an optimized crystal structure of Rb3Tb3SbO8.

The value obtained for the total energy is -6.467 eV per atom. The density of states at the Fermi level is 5.7 states/eV per cell.

It has space group R-3m (No. 166, hexagonal axes), with a = 6.9513 Å, b = 6.9513 Å, c = 19.9518 Å, α = 90.00°, β = 90.00° and γ = 120.00°. The distinct sites, in fractional coordinates, are Rb at (0.0000, 0.5000, 0.0000), Tb at (0.0000, 0.5000, 0.5000), Sb at (0.0000, 0.0000, 0.5000), O at (0.0000, 0.0000, 0.2233) and O at (0.0205, 0.5102, 0.2222).

---

[6]
A plane-wave DFT calculation with PBE was carried out for an optimized crystal structure of Rb2TbSbO6.

The value obtained for the total energy is -5.837 eV per atom. The density of states at the Fermi level is 14.0 states/eV per cell.

It has space group Fm-3m (No. 225), with a = 8.614 Å, b = 8.614 Å, c = 8.614 Å, α = 90.00°, β = 90.00° and γ = 90.00°. The distinct sites, in fractional coordinates, are Rb at (0.250, 0.250, 0.250), Tb at (0.000, 0.000, 0.000), Sb at (0.000, 0.000, 0.500) and O at (0.000, 0.000, 0.267).

---

[7]
A plane-wave DFT calculation with PBE was carried out for an optimized crystal structure of Rb2Tb2SbO6.

The value obtained for the total energy is -6.399 eV per atom. The density of states at the Fermi level is 10.5 states/eV per cell.

It has space group C2/m (No. 12), with a = 5.992 Å, b = 10.336 Å, c = 6.970 Å, α = 90.00°, β = 105.76° and γ = 90.00°. The distinct sites, in fractional coordinates, are Rb at (0.000, 0.165, 0.000), Tb at (0.000, 0.335, 0.500), Sb at (0.000, 0.000, 0.500), O at (0.210, 0.162, 0.665) and O at (0.241, 0.500, 0.666).

---

[8]
A plane-wave DFT calculation with PBE was carried out for an optimized crystal structure of RbTc2SbO8.

The value obtained for the total energy is -6.816 eV per atom. The density of states at the Fermi level is 16.8 states/eV per cell.

It has space group R32 (No. 155, hexagonal axes), with a = 5.4243 Å, b = 5.4243 Å, c = 27.3350 Å, α = 90.00°, β = 90.00° and γ = 120.00°. The distinct sites, in fractional coordinates, are Rb at (0.0000, 0.0000, 0.0000), Tc at (0.0000, 0.0000, 0.2433), Sb at (0.0000, 0.0000, 0.5000), O at (0.0000, 0.0000, 0.3073) and O at (0.0068, 0.3741, 0.8864).

---

[9]
A plane-wave DFT calculation with PBE was carried out for an optimized crystal structure of RbTcSbO6.

The value obtained for the total energy is -6.473 eV per atom. The density of states at the Fermi level is 2.9 states/eV per cell.

It has space group P312 (No. 149), with a = 5.3918 Å, b = 5.3918 Å, c = 6.2765 Å, α = 90.00°, β = 90.00° and γ = 120.00°. The distinct sites, in fractional coordinates, are Rb at (0.0000, 0.0000, 0.0000), Tc at (0.3333, 0.6667, 0.5000), Sb at (0.6667, 0.3333, 0.5000) and O at (0.0132, 0.4200, 0.6812).

---

[10]
A plane-wave DFT calculation with PBE was carried out for an optimized crystal structure of RbSbTe2O.

The value obtained for the total energy is -3.419 eV per atom. The density of states at the Fermi level is 3.1 states/eV per cell.

It has space group P4/mmm (No. 123), with a = 5.208 Å, b = 5.208 Å, c = 4.834 Å, α = 90.00°, β = 90.00° and γ = 90.00°. The distinct sites, in fractional coordinates, are Rb at (0.000, 0.000, 0.000), Sb at (0.500, 0.500, 0.000), Te at (0.000, 0.500, 0.500) and O at (0.500, 0.500, 0.500).

---

[11]
A plane-wave DFT calculation with PBE was carried out for an optimized crystal structure of RbSb2TeO.

The energy relative to the lowest polymorph listed for this composition comes out at 0 meV per atom. The value obtained for the total energy is -3.577 eV per atom. The density of states at the Fermi level is 3.4 states/eV per cell.

It has space group P4/mmm (No. 123), with a = 4.907 Å, b = 4.907 Å, c = 5.413 Å, α = 90.00°, β = 90.00° and γ = 90.00°. The distinct sites, in fractional coordinates, are Rb at (0.000, 0.000, 0.000), Sb at (0.000, 0.500, 0.500), Te at (0.500, 0.500, 0.000) and O at (0.500, 0.500, 0.500).

---

[12]
A plane-wave DFT calculation with PBE was carried out for an optimized crystal structure of RbSb2TeO.

The energy relative to the lowest polymorph listed for this composition comes out at 1911 meV per atom. The value obtained for the total energy is -1.665 eV per atom. The density of states at the Fermi level is 26.5 states/eV per cell.

It has space group P4/mmm (No. 123), with a = 7.457 Å, b = 7.457 Å, c = 6.894 Å, α = 90.00°, β = 90.00° and γ = 90.00°. The distinct sites, in fractional coordinates, are Rb at (0.000, 0.000, 0.000), Sb at (0.000, 0.500, 0.000), Te at (0.000, 0.000, 0.500) and O at (0.500, 0.500, 0.500).

---

[13]
A plane-wave DFT calculation with PBE was carried out for an optimized crystal structure of RbSbTe2O8.

The value obtained for the total energy is -5.221 eV per atom.

It has space group C2/m (No. 12), with a = 10.712 Å, b = 6.046 Å, c = 7.379 Å, α = 90.00°, β = 110.68° and γ = 90.00°. The distinct sites, in fractional coordinates, are Rb at (0.000, 0.000, 0.000), Sb at (0.000, 0.500, 0.500), Te at (0.209, 0.000, 0.642), O at (0.105, 0.500, 0.259), O at (0.129, 0.242, 0.717) and O at (0.165, 0.000, 0.382).

---

[14]
A plane-wave DFT calculation with PBE was carried out for an optimized crystal structure of Rb2SbTeO6.

The value obtained for the total energy is -5.168 eV per atom. The density of states at the Fermi level is 2.2 states/eV per cell.

It has space group Fm-3m (No. 225), with a = 8.257 Å, b = 8.257 Å, c = 8.257 Å, α = 90.00°, β = 90.00° and γ = 90.00°. The distinct sites, in fractional coordinates, are Rb at (0.250, 0.250, 0.250), Sb at (0.000, 0.000, 0.000), Te at (0.000, 0.000, 0.500) and O at (0.000, 0.000, 0.252).

---

[15]
A plane-wave DFT calculation with PBE was carried out for an optimized crystal structure of Rb2ThSbO6.

The value obtained for the total energy is -6.436 eV per atom. The density of states at the Fermi level is 25.2 states/eV per cell.

It has space group Fm-3m (No. 225), with a = 8.680 Å, b = 8.680 Å, c = 8.680 Å, α = 90.00°, β = 90.00° and γ = 90.00°. The distinct sites, in fractional coordinates, are Rb at (0.250, 0.250, 0.250), Th at (0.000, 0.000, 0.000), Sb at (0.000, 0.000, 0.500) and O at (0.000, 0.000, 0.267).

---

[16]
A plane-wave DFT calculation with PBE was carried out for an optimized crystal structure of Rb2ThSb2O6.

The value obtained for the total energy is -6.436 eV per atom. The density of states at the Fermi level is 0.0 states/eV per cell.

It has space group C2/m (No. 12), with a = 10.926 Å, b = 6.306 Å, c = 7.713 Å, α = 90.00°, β = 95.02° and γ = 90.00°. The distinct sites, in fractional coordinates, are Rb at (0.177, 0.000, 0.175), Th at (0.000, 0.500, 0.000), Sb at (0.148, 0.000, 0.706), O at (0.078, 0.234, 0.835) and O at (0.188, 0.500, 0.164).

---

[17]
A plane-wave DFT calculation with PBE was carried out for an optimized crystal structure of Rb2Ti2Sb2O.

The value obtained for the total energy is -5.457 eV per atom. The density of states at the Fermi level is 8.8 states/eV per cell.

It has space group I4/mmm (No. 139), with a = 4.120 Å, b = 4.120 Å, c = 26.283 Å, α = 90.00°, β = 90.00° and γ = 90.00°. The distinct sites, in fractional coordinates, are Rb at (0.000, 0.000, 0.157), Ti at (0.000, 0.500, 0.000), Sb at (0.000, 0.000, 0.423) and O at (0.000, 0.000, 0.000).

---

[18]
A plane-wave DFT calculation with PBE was carried out for an optimized crystal structure of Rb2TiSb3O12.

The value obtained for the total energy is -6.060 eV per atom. The density of states at the Fermi level is 33.8 states/eV per cell.

It has space group R-3m (No. 166, hexagonal axes), with a = 7.3581 Å, b = 7.3581 Å, c = 18.1025 Å, α = 90.00°, β = 90.00° and γ = 120.00°. The distinct sites, in fractional coordinates, are Rb at (0.0000, 0.0000, 0.1269), Ti at (0.0000, 0.0000, 0.5000), Sb at (0.0000, 0.5000, 0.0000), O at (0.0662, 0.5331, 0.3600) and O at (0.0802, 0.5401, 0.1059).

---

[19]
A plane-wave DFT calculation with PBE was carried out for an optimized crystal structure of Rb2TiSb2O6.

The value obtained for the total energy is -6.133 eV per atom. The density of states at the Fermi level is 0.0 states/eV per cell.

It has space group C2/m (No. 12), with a = 9.349 Å, b = 5.990 Å, c = 7.327 Å, α = 90.00°, β = 107.97° and γ = 90.00°. The distinct sites, in fractional coordinates, are Rb at (0.200, 0.000, 0.132), Ti at (0.000, 0.000, 0.500), Sb at (0.098, 0.500, 0.263), O at (0.026, 0.243, 0.702) and O at (0.215, 0.000, 0.523).

---

[20]
A plane-wave DFT calculation with PBE was carried out for an optimized crystal structure of RbTlSbO3.

The value obtained for the total energy is -4.842 eV per atom. The density of states at the Fermi level is 4.4 states/eV per cell.

It has space group C2/c (No. 15), with a = 6.759 Å, b = 13.565 Å, c = 5.851 Å, α = 90.00°, β = 99.30° and γ = 90.00°. The distinct sites, in fractional coordinates, are Rb at (0.000, 0.094, 0.250), Tl at (0.000, 0.266, 0.750), Sb at (0.000, 0.445, 0.250), O at (0.000, 0.300, 0.250) and O at (0.183, 0.469, 0.988).

---

[21]
A plane-wave DFT calculation with PBE was carried out for an optimized crystal structure of RbTl2SbO4.

The value obtained for the total energy is -4.883 eV per atom. The density of states at the Fermi level is 0.0 states/eV per cell.

It has space group P1 (No. 1), with a = 6.188 Å, b = 6.438 Å, c = 6.497 Å, α = 68.40°, β = 61.82° and γ = 61.57°. The distinct sites, in fractional coordinates, are Rb at (0.000, 0.000, 0.000), Tl at (0.211, 0.336, 0.238), Tl at (0.503, 0.398, 0.584), Sb at (0.765, 0.690, 0.772), O at (0.037, 0.475, 0.902), O at (0.501, 0.553, 0.893), O at (0.609, 0.996, 0.859) and O at (0.920, 0.708, 0.437).

---

[22]
A plane-wave DFT calculation with PBE was carried out for an optimized crystal structure of Rb2TmSbO6.

The value obtained for the total energy is -5.837 eV per atom. The density of states at the Fermi level is 15.4 states/eV per cell.

It has space group Fm-3m (No. 225), with a = 8.522 Å, b = 8.522 Å, c = 8.522 Å, α = 90.00°, β = 90.00° and γ = 90.00°. The distinct sites, in fractional coordinates, are Rb at (0.250, 0.250, 0.250), Tm at (0.000, 0.000, 0.000), Sb at (0.000, 0.000, 0.500) and O at (0.000, 0.000, 0.264).

---

For reference, formation energy from raw total energies by record: -1.92; -1.65; 0.45; -2.00; -2.43; -1.79; -2.30; -1.36; -1.45; -0.15; -0.11; 1.80; -0.97; -1.27; -2.11; -2.13; -1.04; -1.52; -1.79; -1.12; -1.18; -1.81 eV per atom.